GdDyInNi: relaxed, PBE.

Output
spin magnetization	7.14	μB/cell
SG	F-43m, No. 216
formation energy	-0.303	eV/atom

```
data_GdDyInNi
_space_group_name_H-M_alt 'P 1'
_space_group_IT_number 1
_space_group_name_Hall 'P 1'
_cell_length_a 5.121
_cell_length_b 5.121
_cell_length_c 5.121
_cell_angle_alpha 60.00
_cell_angle_beta 60.00
_cell_angle_gamma 60.00
loop_
_atom_site_label
_atom_site_fract_x
_atom_site_fract_y
_atom_site_fract_z
_atom_site_occupancy
Ni1 0.500 0.500 0.500 1
Gd1 0.250 0.250 0.250 1
In1 0.000 0.000 0.000 1
Dy1 0.750 0.750 0.750 1
```

---

Ba8TlAu3: relaxed, PBE.

Output
spin magnetization	0.00	μB/cell
SG	R-3m, No. 166
formation energy	-0.405	eV/atom

```
data_Ba8TlAu3
_space_group_name_H-M_alt 'P 1'
_space_group_IT_number 1
_space_group_name_Hall 'P 1'
_cell_length_a 9.877
_cell_length_b 9.876
_cell_length_c 9.369
_cell_angle_alpha 121.81
_cell_angle_beta 90.00
_cell_angle_gamma 120.00
loop_
_atom_site_label
_atom_site_fract_x
_atom_site_fract_y
_atom_site_fract_z
_atom_site_occupancy
Ba1 0.253 0.507 0.760 1
Ba2 0.747 0.493 0.240 1
Ba3 0.270 0.017 0.763 1
Ba4 0.746 0.017 0.763 1
Ba5 0.746 0.493 0.763 1
Ba6 0.254 0.507 0.237 1
Ba7 0.254 0.983 0.237 1
Ba8 0.730 0.983 0.237 1
Tl1 0.000 0.000 0.000 1
Au1 0.500 0.000 0.000 1
Au2 0.500 0.500 0.000 1
Au3 0.000 0.500 0.000 1
```

---

InTe5Pb4: relaxed, PBE.

Output
spin magnetization	0.00	μB/cell
energy relative to the lowest polymorph listed for this composition	3.0	meV/atom
SG	I4, No. 79

```
data_InTe5Pb4
_space_group_name_H-M_alt 'P 1'
_space_group_IT_number 1
_space_group_name_Hall 'P 1'
_cell_length_a 6.485
_cell_length_b 7.977
_cell_length_c 7.977
_cell_angle_alpha 80.49
_cell_angle_beta 66.02
_cell_angle_gamma 66.02
loop_
_atom_site_label
_atom_site_fract_x
_atom_site_fract_y
_atom_site_fract_z
_atom_site_occupancy
In1 0.002 0.000 0.000 1
Te1 0.901 0.394 0.806 1
Te2 0.295 0.806 0.606 1
Te3 0.707 0.194 0.394 1
Te4 0.100 0.606 0.194 1
Te5 0.501 0.000 0.000 1
Pb1 0.404 0.399 0.795 1
Pb2 0.803 0.795 0.601 1
Pb3 0.199 0.205 0.399 1
Pb4 0.598 0.601 0.205 1
```

---

CdBi2HPd: relaxed, PBE.

Output
spin magnetization	0.00	μB/cell
SG	P4/mmm, No. 123
raw total energy	-3.42	eV/atom

```
data_CdBi2HPd
_space_group_name_H-M_alt 'P 1'
_space_group_IT_number 1
_space_group_name_Hall 'P 1'
_cell_length_a 5.646
_cell_length_b 5.646
_cell_length_c 3.432
_cell_angle_alpha 90.00
_cell_angle_beta 90.00
_cell_angle_gamma 90.00
loop_
_atom_site_label
_atom_site_fract_x
_atom_site_fract_y
_atom_site_fract_z
_atom_site_occupancy
H1 0.000 0.000 0.500 1
Bi1 0.000 0.500 0.000 1
Bi2 0.500 0.000 0.000 1
Pd1 0.000 0.000 0.000 1
Cd1 0.500 0.500 0.500 1
```

---

NaSn2AsSe6: relaxed, PBE.

Output
spin magnetization	0.00	μB/cell
SG	C2/c, No. 15
raw total energy	-3.86	eV/atom

```
data_NaSn2AsSe6
_space_group_name_H-M_alt 'P 1'
_space_group_IT_number 1
_space_group_name_Hall 'P 1'
_cell_length_a 7.697
_cell_length_b 9.422
_cell_length_c 9.422
_cell_angle_alpha 76.76
_cell_angle_beta 72.18
_cell_angle_gamma 72.18
loop_
_atom_site_label
_atom_site_fract_x
_atom_site_fract_y
_atom_site_fract_z
_atom_site_occupancy
Na1 0.250 0.744 0.256 1
Na2 0.750 0.256 0.744 1
Sn1 0.365 0.839 0.635 1
Sn2 0.135 0.365 0.161 1
Sn3 0.635 0.161 0.365 1
Sn4 0.865 0.635 0.839 1
As1 0.250 0.224 0.776 1
As2 0.750 0.776 0.224 1
Se1 0.107 0.014 0.816 1
Se2 0.393 0.184 0.986 1
Se3 0.893 0.986 0.184 1
Se4 0.607 0.816 0.014 1
Se5 0.405 0.953 0.351 1
Se6 0.095 0.649 0.047 1
Se7 0.595 0.047 0.649 1
Se8 0.905 0.351 0.953 1
Se9 0.130 0.693 0.607 1
Se10 0.370 0.393 0.307 1
Se11 0.870 0.307 0.393 1
Se12 0.630 0.607 0.693 1
```